DFT (PBEsol) results for crystalline LiPb2Br at its relaxed geometry.

Results
Energy relative to the elements, uncorrected in eV per atom: -0.57
M_tot in μB per formula unit: 0.00
Raw total energy in eV per atom: -3.53
ΔE to the lowest computed polymorph in eV per atom: 0.0000

The structure in CIF format:
```
data_LiPb2Br
_symmetry_space_group_name_H-M 'C 1 m 1'
_symmetry_Int_Tables_number 8
_cell_length_a 6.273
_cell_length_b 3.669
_cell_length_c 9.567
_cell_angle_alpha 90.00
_cell_angle_beta 102.82
_cell_angle_gamma 90.00
loop_
_symmetry_equiv_pos_as_xyz
'x,y,z'
'x,-y,z'
'x+1/2,y+1/2,z'
'x+1/2,-y+1/2,z'
loop_
_atom_site_label
_atom_site_type_symbol
_atom_site_fract_x
_atom_site_fract_y
_atom_site_fract_z
_atom_site_occupancy
Li1 Li 0.000 0.000 0.000 1
Pb1 Pb 0.236 0.000 0.715 1
Pb2 Pb 0.478 0.000 0.442 1
Br1 Br 0.207 0.500 0.125 1
```